# Sr3Be2

Sr3Be2 at its PBEsol-relaxed geometry (meta-GGA SCAN, Alexandria via LeMat-Bulk).

## Properties
- DFT formation energy: 0.591 eV/atom
- Space-group type: R-3m, No. 166
- DOS(E_F): 4.5 states/eV/cell
- Final energy: -14.52 eV per atom

Geometry as POSCAR:
```
Sr3Be2
1.0
4.398 0.000 0.000
2.199 3.808 0.000
2.199 1.269 10.853
Sr Be
3 2
direct
0.222 0.222 0.334
0.000 0.000 0.000
0.778 0.778 0.666
0.391 0.391 0.828
0.609 0.609 0.172
```